VASP calculation (GGA-PBEsol) on a relaxed NiIrPt2 crystal.

## Properties
**Theoretical density**: 19.4 g/cm3
**Crystal system**: trigonal
**Energy**: -29.8 eV for the cell shown
**Space-group type**: No. 166
**DOS at the Fermi energy**: 1.67 states/eV/atom
**Magnetization**: 0.533 μB per cell

Unit cell a=8.731 b=8.731 c=8.731 alpha=17.92 beta=17.92 gamma=17.92
Atoms (fractional coordinates):
1 Ni 0.000 0.000 0.000
2 Ir 0.500 0.500 0.500
3 Pt 0.254 0.254 0.254
4 Pt 0.746 0.746 0.746